Compound: CaIn4Sb
Source: the Alexandria database
Functional: PBE
Structure: relaxed

Cell: 6.207 6.207 6.207 Å, 60.00 60.00 60.00°
Fractional positions:
Ca1 0.000 0.000 0.000
In1 0.375 0.874 0.375
In2 0.375 0.375 0.375
In3 0.375 0.375 0.874
In4 0.874 0.375 0.375
Sb1 0.750 0.750 0.750

## Properties
The magnetization comes out at 0.00 μB per formula unit. As for the formation energy from raw total energies: -0.0878 eV/atom. The raw total energy is -17.604 eV for the cell shown. The calculation puts the density of states at the Fermi level at 3.06 states/eV/f.u.